Entry 1:
{"formula": "AgSbH2", "functional": "meta-GGA SCAN", "state": "PBEsol geometry", "polymorph_energy_mev_per_atom": 0.0, "spacegroup": "No. 122", "dos_ef_per_ev_fu": 0.750, "cell": [[5.163, 0.000, 0.000], [-2.581, 4.798, 0.117], [0.000, 2.670, 4.419]], "species": ["Sb", "Sb", "Ag", "Ag", "H", "H", "H", "H"], "fractional_positions": [[0.750, 0.500, 0.750], [0.000, 0.000, 0.000], [0.250, 0.500, 0.250], [0.500, 0.000, 0.500], [0.524, 0.750, 0.375], [0.226, 0.750, 0.875], [0.875, 0.250, 0.524], [0.375, 0.250, 0.226]]}

=====

Entry 2:
{"formula": "AgSbH2", "functional": "meta-GGA SCAN", "state": "PBEsol geometry", "polymorph_energy_mev_per_atom": 301.9, "spacegroup": "No. 225", "dos_ef_per_ev_fu": 1.558, "cell": [[-2.212, -1.860, -2.935], [1.784, -1.073, -3.554], [0.650, -3.975, -0.861]], "species": ["Sb", "Ag", "H", "H"], "fractional_positions": [[0.500, 0.500, 0.500], [0.000, 0.000, 0.000], [0.250, 0.250, 0.250], [0.750, 0.750, 0.750]]}

=====

Entry 3:
{"formula": "Sc2AgH", "functional": "meta-GGA SCAN", "state": "PBEsol geometry", "dft_energy_ev_per_atom": -16.114, "spacegroup": "No. 122", "dos_ef_per_ev_fu": 3.594, "cell": [[-2.583, -4.863, -0.676], [5.119, -0.591, 2.056], [-2.542, 3.248, 3.711]], "species": ["Sc", "Sc", "Sc", "Sc", "H", "H", "Ag", "Ag"], "fractional_positions": [[0.904, 0.529, 0.125], [0.096, 0.221, 0.625], [0.596, 0.375, 0.471], [0.404, 0.875, 0.779], [0.000, 0.500, 0.500], [0.500, 0.250, 0.750], [0.000, 0.000, 0.000], [0.500, 0.750, 0.250]]}

=====

Entry 4:
{"formula": "ScAgH2", "functional": "meta-GGA SCAN", "state": "PBEsol geometry", "dft_energy_ev_per_atom": -13.165, "spacegroup": "No. 225", "dos_ef_per_ev_fu": 1.635, "cell": [[-1.328, 0.817, 3.600], [-2.545, -2.421, 1.749], [1.147, -2.178, 3.055]], "species": ["Sc", "H", "H", "Ag"], "fractional_positions": [[0.000, 0.000, 0.000], [0.250, 0.250, 0.250], [0.750, 0.750, 0.750], [0.500, 0.500, 0.500]]}

=====

Entry 5:
{"formula": "Ag2HSe2", "functional": "meta-GGA SCAN", "state": "PBEsol geometry", "dft_energy_ev_per_atom": -21.206, "spacegroup": "No. 139", "dos_ef_per_ev_fu": 0.948, "cell": [[-2.911, -1.199, -4.189], [4.879, -1.673, 0.366], [1.014, -5.087, 0.752]], "species": ["H", "Ag", "Ag", "Se", "Se"], "fractional_positions": [[0.000, 0.000, 0.000], [0.750, 0.500, 0.750], [0.250, 0.500, 0.250], [0.753, 0.506, 0.247], [0.247, 0.494, 0.753]]}

=====

Entry 6:
{"formula": "AgHSe2", "functional": "meta-GGA SCAN", "state": "PBEsol geometry", "dft_energy_ev_per_atom": -17.905, "spacegroup": "No. 225", "dos_ef_per_ev_fu": 3.023, "cell": [[4.476, 0.000, 0.000], [2.238, 3.876, 0.000], [2.238, 1.292, 3.655]], "species": ["H", "Ag", "Se", "Se"], "fractional_positions": [[0.000, 0.000, 0.000], [0.500, 0.500, 0.500], [0.250, 0.250, 0.250], [0.750, 0.750, 0.750]]}

=====

Entry 7:
{"formula": "AgH2Se2", "functional": "meta-GGA SCAN", "state": "PBEsol geometry", "dft_energy_ev_per_atom": -15.083, "spacegroup": "No. 139", "dos_ef_per_ev_fu": 1.484, "cell": [[-1.566, -1.410, 2.382], [-1.035, -2.240, -2.006], [6.491, -1.741, 1.114]], "species": ["H", "H", "Se", "Se", "Ag"], "fractional_positions": [[0.250, 0.750, 0.500], [0.750, 0.250, 0.500], [0.354, 0.354, 0.708], [0.646, 0.646, 0.292], [0.000, 0.000, 0.000]]}

=====

Entry 8:
{"formula": "AgHSe", "functional": "meta-GGA SCAN", "state": "PBEsol geometry", "dft_energy_ev_per_atom": -18.347, "spacegroup": "No. 39", "cell": [[4.162, 0.028, 0.000], [-0.016, 4.162, 0.000], [0.000, 0.000, 6.641]], "species": ["H", "H", "Ag", "Ag", "Se", "Se"], "fractional_positions": [[0.425, 0.925, 0.848], [0.925, 0.425, 0.152], [0.910, 0.910, 0.500], [0.410, 0.410, 0.500], [0.174, 0.674, 0.198], [0.674, 0.174, 0.802]]}